Entry 1:
{
  "formula": "Pm12Sm5Mg2",
  "functional": "PBE-GGA",
  "state": "relaxed",
  "final_energy_ev_per_cell": -82.18,
  "total_magnetization_mub_per_fu": 0.000,
  "formation_energy_ev_per_atom": 0.085,
  "cell": [[-2.037, -6.728, 6.048], [4.424, -1.961, -7.801], [7.368, 1.573, 4.231]],
  "species": ["Pm", "Pm", "Pm", "Pm", "Pm", "Pm", "Pm", "Pm", "Pm", "Pm", "Pm", "Pm", "Sm", "Sm", "Sm", "Sm", "Sm", "Mg", "Mg"],
  "fractional_positions": [[0.923, 0.847, 0.119], [0.038, 0.708, 0.762], [0.670, 0.708, 0.762], [0.178, 0.744, 0.316], [0.566, 0.744, 0.316], [0.442, 0.884, 0.661], [0.558, 0.116, 0.339], [0.822, 0.256, 0.684], [0.434, 0.256, 0.684], [0.962, 0.292, 0.238], [0.330, 0.292, 0.238], [0.077, 0.153, 0.881], [0.232, 0.464, 0.570], [0.295, 0.590, 0.972], [0.000, 0.000, 0.500], [0.705, 0.410, 0.028], [0.768, 0.536, 0.430], [0.664, 0.000, 0.000], [0.336, 0.000, 0.000]]
}

Entry 2:
{
  "formula": "Pm6Sm5Mg",
  "functional": "PBE-GGA",
  "state": "relaxed",
  "final_energy_ev_per_cell": -53.48,
  "total_magnetization_mub_per_fu": 0.000,
  "formation_energy_ev_per_atom": 0.018,
  "cell": [[6.081, 0.000, 1.493], [3.041, 5.424, 0.747], [-0.769, 0.000, 11.905]],
  "species": ["Mg", "Sm", "Sm", "Sm", "Sm", "Sm", "Pm", "Pm", "Pm", "Pm", "Pm", "Pm"],
  "fractional_positions": [[0.000, 0.000, 0.000], [0.166, 0.667, 0.500], [0.333, 0.335, 0.000], [0.500, 0.000, 0.500], [0.667, 0.665, 0.000], [0.834, 0.333, 0.500], [0.586, 0.331, 0.248], [0.083, 0.331, 0.752], [0.751, 0.000, 0.751], [0.249, 0.000, 0.249], [0.917, 0.669, 0.248], [0.414, 0.669, 0.752]]
}

Entry 3:
{
  "formula": "PmSmMg6",
  "functional": "PBE-GGA",
  "state": "relaxed",
  "final_energy_ev_per_cell": -19.79,
  "total_magnetization_mub_per_fu": 0.000,
  "formation_energy_ev_per_atom": -0.094,
  "cell": [[5.210, 0.000, 0.000], [0.000, 6.773, -0.217], [0.000, -3.194, 5.977]],
  "species": ["Pm", "Sm", "Mg", "Mg", "Mg", "Mg", "Mg", "Mg"],
  "fractional_positions": [[0.000, 0.084, 0.916], [0.500, 0.416, 0.584], [0.000, 0.075, 0.412], [0.000, 0.588, 0.925], [0.000, 0.587, 0.413], [0.500, 0.425, 0.088], [0.500, 0.912, 0.575], [0.500, 0.912, 0.088]]
}

Entry 4:
{
  "formula": "PmSm3Mg",
  "functional": "PBE-GGA",
  "state": "relaxed",
  "final_energy_ev_per_cell": -41.17,
  "total_magnetization_mub_per_fu": 0.000,
  "formation_energy_ev_per_atom": -0.016,
  "cell": [[3.763, 0.000, 0.000], [1.881, 6.555, 0.471], [-0.002, -0.260, 13.012]],
  "species": ["Pm", "Pm", "Sm", "Sm", "Sm", "Sm", "Sm", "Sm", "Mg", "Mg"],
  "fractional_positions": [[0.230, 0.540, 0.755], [0.770, 0.460, 0.245], [0.149, 0.702, 0.443], [0.365, 0.268, 0.026], [0.039, 0.922, 0.188], [0.851, 0.298, 0.557], [0.961, 0.078, 0.812], [0.635, 0.732, 0.974], [0.555, 0.888, 0.626], [0.445, 0.112, 0.374]]
}

Entry 5:
{
  "formula": "Pm3SmMg6",
  "functional": "PBE-GGA",
  "state": "relaxed",
  "final_energy_ev_per_cell": -58.77,
  "total_magnetization_mub_per_fu": 0.001,
  "formation_energy_ev_per_atom": -0.085,
  "cell": [[-0.932, 4.243, 3.102], [-7.993, 1.683, -4.704], [-2.882, -6.923, 8.605]],
  "species": ["Pm", "Pm", "Pm", "Pm", "Pm", "Pm", "Sm", "Sm", "Mg", "Mg", "Mg", "Mg", "Mg", "Mg", "Mg", "Mg", "Mg", "Mg", "Mg", "Mg"],
  "fractional_positions": [[0.250, 0.537, 0.395], [0.750, 0.463, 0.605], [0.250, 0.351, 0.793], [0.750, 0.649, 0.207], [0.250, 0.755, 0.005], [0.750, 0.245, 0.995], [0.250, 0.948, 0.605], [0.750, 0.052, 0.395], [0.250, 0.440, 0.099], [0.750, 0.560, 0.901], [0.250, 0.145, 0.194], [0.750, 0.855, 0.806], [0.250, 0.664, 0.709], [0.750, 0.336, 0.291], [0.250, 0.241, 0.490], [0.750, 0.759, 0.510], [0.250, 0.858, 0.304], [0.750, 0.142, 0.696], [0.250, 0.047, 0.901], [0.750, 0.953, 0.099]]
}

Entry 6:
{
  "formula": "Pm2SmMg2",
  "functional": "PBE-GGA",
  "state": "relaxed",
  "final_energy_ev_per_cell": -35.59,
  "total_magnetization_mub_per_fu": 0.000,
  "formation_energy_ev_per_atom": -0.077,
  "cell": [[3.798, 0.000, -0.510], [0.000, 5.535, 0.000], [-0.025, 0.000, 14.281]],
  "species": ["Pm", "Pm", "Pm", "Pm", "Sm", "Sm", "Mg", "Mg", "Mg", "Mg"],
  "fractional_positions": [[0.045, 0.750, 0.089], [0.955, 0.250, 0.911], [0.236, 0.750, 0.474], [0.764, 0.250, 0.526], [0.849, 0.750, 0.701], [0.151, 0.250, 0.299], [0.640, 0.750, 0.280], [0.360, 0.250, 0.720], [0.447, 0.750, 0.894], [0.553, 0.250, 0.106]]
}

Entry 7:
{
  "formula": "PmSm5Mg2",
  "functional": "PBE-GGA",
  "state": "relaxed",
  "final_energy_ev_per_cell": -31.33,
  "total_magnetization_mub_per_fu": 0.000,
  "formation_energy_ev_per_atom": 0.026,
  "cell": [[3.554, 0.000, 0.000], [1.777, 8.502, -0.089], [1.777, 1.475, 8.373]],
  "species": ["Pm", "Sm", "Sm", "Sm", "Sm", "Sm", "Mg", "Mg"],
  "fractional_positions": [[0.000, 0.000, 0.000], [0.000, 0.500, 0.500], [0.634, 0.592, 0.140], [0.366, 0.408, 0.860], [0.366, 0.860, 0.408], [0.634, 0.140, 0.592], [0.738, 0.762, 0.762], [0.262, 0.238, 0.238]]
}

Entry 8:
{
  "formula": "PmSm2Mg4",
  "functional": "PBE-GGA",
  "state": "relaxed",
  "final_energy_ev_per_cell": -19.74,
  "total_magnetization_mub_per_fu": 0.000,
  "formation_energy_ev_per_atom": 0.119,
  "cell": [[5.172, 0.000, -1.649], [-0.526, 5.145, -1.649], [-0.193, -0.214, 8.331]],
  "species": ["Pm", "Sm", "Sm", "Mg", "Mg", "Mg", "Mg"],
  "fractional_positions": [[0.000, 0.000, 0.000], [0.747, 0.747, 0.494], [0.253, 0.253, 0.506], [0.383, 0.883, 0.767], [0.883, 0.383, 0.767], [0.617, 0.117, 0.233], [0.117, 0.617, 0.233]]
}